(1)
The following is a PBE calculation of a geometry-optimized Tb8TlRu2 structure, from Alexandria.

Calculated values
The value obtained for the polymorph energy (0 for the lowest one) is 0.000 eV per atom.

a = 8.784 Å, b = 13.210 Å, c = 5.473 Å
α = 90.00°, β = 103.32°, γ = 90.00°
Space group C2/m (No. 12)
Inequivalent atoms, fractional coordinates:
Tb  0.000  0.249  0.000 x4
Tb  0.114  0.500  0.800 x4
Tb  0.198  0.132  0.577 x8
Tl  0.000  0.000  0.000 x2
Ru  0.000  0.312  0.500 x4

(2)
The following is a PBE calculation of a geometry-optimized RbTlSbI2 structure, from Alexandria.

Calculated values
The calculation puts the formation energy without anion corrections at -350 meV/atom. The value obtained for the polymorph energy (0 for the lowest one) is 0.000 eV per atom.

a = 6.594 Å, b = 6.594 Å, c = 5.848 Å
α = 90.00°, β = 90.00°, γ = 90.00°
Space group P4/mmm (No. 123)
Inequivalent atoms, fractional coordinates:
Rb  0.000  0.000  0.000 x1
Tl  0.500  0.500  0.500 x1
Sb  0.500  0.500  0.000 x1
I  0.000  0.500  0.500 x2

(3)
The following is a PBE calculation of a geometry-optimized Mg5Hg3Bi structure, from Alexandria.

a = 8.6255 Å, b = 8.6255 Å, c = 6.4854 Å
α = 90.00°, β = 90.00°, γ = 120.00°
Space group P6_3/mcm (No. 193)
Inequivalent atoms, fractional coordinates:
Mg  0.0000  0.3100  0.2500 x6
Mg  0.3333  0.6667  0.0000 x4
Hg  0.0000  0.3686  0.7500 x6
Bi  0.0000  0.0000  0.0000 x2

(4)
The following is a PBE calculation of a geometry-optimized GeTeCN2 structure, from Alexandria.

Calculated values
The calculation puts the formation energy without anion corrections at 1981 meV/atom. The value obtained for the polymorph energy (0 for the lowest one) is 0.000 eV per atom.

a = 3.552 Å, b = 3.552 Å, c = 7.672 Å
α = 90.00°, β = 90.00°, γ = 90.00°
Space group P4/mmm (No. 123)
Inequivalent atoms, fractional coordinates:
Ge  0.000  0.000  0.000 x1
Te  0.000  0.000  0.500 x1
C  0.500  0.500  0.500 x1
N  0.000  0.500  0.000 x2

(5)
The following is a PBE calculation of a geometry-optimized Re3BRu structure, from Alexandria.

Calculated values
The value obtained for the polymorph energy (0 for the lowest one) is 0.185 eV per atom.

a = 4.088 Å, b = 4.088 Å, c = 4.088 Å
α = 90.00°, β = 90.00°, γ = 90.00°
Space group Pm-3m (No. 221)
Inequivalent atoms, fractional coordinates:
Re  0.000  0.000  0.500 x3
B  0.000  0.000  0.000 x1
Ru  0.500  0.500  0.500 x1

(6)
The following is a PBE calculation of a geometry-optimized SmThPa structure, from Alexandria.

Calculated values
The value obtained for the polymorph energy (0 for the lowest one) is 0.066 eV per atom.

a = 6.287 Å, b = 5.841 Å, c = 11.475 Å
α = 90.00°, β = 119.66°, γ = 90.00°
Space group P2_1/c (No. 14)
Inequivalent atoms, fractional coordinates:
Sm  0.012  0.193  0.394 x4
Th  0.344  0.162  0.234 x4
Pa  0.368  0.690  0.454 x4

(7)
The following is a PBE calculation of a geometry-optimized ErSc4 structure, from Alexandria.

Calculated values
The value obtained for the polymorph energy (0 for the lowest one) is 0.000 eV per atom.

a = 3.313 Å, b = 3.313 Å, c = 23.346 Å
α = 90.00°, β = 90.00°, γ = 90.00°
Space group I4/mmm (No. 139)
Inequivalent atoms, fractional coordinates:
Er  0.000  0.000  0.000 x2
Sc  0.000  0.000  0.201 x4
Sc  0.000  0.000  0.396 x4

(8)
The following is a PBE calculation of a geometry-optimized KGeAu6 structure, from Alexandria.

a = 6.9647 Å, b = 6.9647 Å, c = 13.2133 Å
α = 90.00°, β = 90.00°, γ = 120.00°
Space group R-3m (No. 166, hexagonal axes)
Inequivalent atoms, fractional coordinates:
K  0.0000  0.0000  0.0000 x3
Ge  0.0000  0.0000  0.5000 x3
Au  0.0687  0.5344  0.8968 x18

(9)
The following is a PBE calculation of a geometry-optimized Fe2SnGe2 structure, from Alexandria.

a = 3.895 Å, b = 4.879 Å, c = 4.917 Å
α = 101.93°, β = 90.03°, γ = 113.35°
Space group P-1 (No. 2)
Inequivalent atoms, fractional coordinates:
Fe  0.227  0.454  0.120 x2
Sn  0.500  0.000  0.000 x1
Ge  0.150  0.299  0.574 x2

(10)
The following is a PBE calculation of a geometry-optimized RbCd2InBi structure, from Alexandria.

Calculated values
The value obtained for the polymorph energy (0 for the lowest one) is 0.485 eV per atom.

a = 5.925 Å, b = 5.925 Å, c = 6.825 Å
α = 90.00°, β = 90.00°, γ = 90.00°
Space group P4/mmm (No. 123)
Inequivalent atoms, fractional coordinates:
Rb  0.000  0.000  0.000 x1
Cd  0.000  0.500  0.500 x2
In  0.500  0.500  0.000 x1
Bi  0.000  0.000  0.500 x1

(11)
The following is a PBE calculation of a geometry-optimized Pm6PrSe8 structure, from Alexandria.

Calculated values
The calculation puts the formation energy without anion corrections at -1874 meV/atom.

a = 11.843 Å, b = 11.843 Å, c = 11.843 Å
α = 90.00°, β = 90.00°, γ = 90.00°
Space group Fm-3m (No. 225)
Inequivalent atoms, fractional coordinates:
Pm  0.000  0.250  0.250 x24
Pr  0.000  0.000  0.000 x4
Se  0.000  0.000  0.256 x24
Se  0.250  0.250  0.250 x8

(12)
The following is a PBE calculation of a geometry-optimized Ho3Ga9Pd2 structure, from Alexandria.

a = 4.240 Å, b = 9.816 Å, c = 12.391 Å
α = 90.00°, β = 90.00°, γ = 90.00°
Space group Immm (No. 71)
Inequivalent atoms, fractional coordinates:
Ho  0.000  0.000  0.000 x2
Ho  0.000  0.000  0.315 x4
Ga  0.000  0.279  0.133 x8
Ga  0.000  0.372  0.336 x8
Ga  0.000  0.500  0.000 x2
Pd  0.000  0.214  0.500 x4

no.,VASP energy (eV/atom)
1,-5.48
2,-2.46
3,-1.57
4,-4.75
5,-10.41
6,-6.98
7,-5.93
8,-3.23
9,-5.94
10,-1.57
11,-5.95
12,-4.32